Entry 1:
VASP calculation (PBE-GGA) on a relaxed MgSc2Pb crystal.

a = 4.4975 Å, b = 4.4975 Å, c = 6.9313 Å
α = 71.07°, β = 71.07°, γ = 60.00°
Last column: nearest neighbours and their distance in Å.
Element x y z (fractional)
Sc1 0.2630 0.2630 0.2110  3 Pb 2.93, 3 Mg 3.21
Pb1 0.6664 0.6664 0.0007  6 Sc 2.93-2.95, 1 Mg 3.23
Sc2 0.0719 0.0719 0.7844  3 Pb 2.95, 3 Mg 3.16
Mg1 0.4987 0.4987 0.5038  6 Sc 3.16-3.21, 1 Pb 3.23

Space-group type: R3m, No. 160
ΔH_f (0 K) in eV/atom: 0.058
DOS(E_F) in states/eV/cell: 4.4
Size of the total moment in μB/atom: 0.00
Calculated density in g/cm³: 4.74
Crystal system: trigonal


Entry 2:
VASP calculation (PBE-GGA) on a relaxed MgScPb crystal.

a = 4.9201 Å, b = 4.9201 Å, c = 3.4130 Å
α = 90.00°, β = 90.00°, γ = 120.00°
Last column: nearest neighbours and their distance in Å.
Element x y z (fractional)
Sc1 0.3333 0.6667 0.6601  6 Pb 3.25-3.39, 6 Mg 3.28-3.35, 2 Sc 3.41
Pb1 0.6667 0.3333 0.2001  3 Mg 2.85
Mg1 0.0000 0.0000 0.1398  3 Pb 2.85

Space-group type: P3m1, No. 156
ΔH_f (0 K) in eV/atom: -0.179
DOS(E_F) in states/eV/cell: 1.6
Size of the total moment in μB/atom: 0.00
Calculated density in g/cm³: 6.42
Crystal system: trigonal


Entry 3:
VASP calculation (PBE-GGA) on a relaxed Mg2Sc3Pb crystal.

a = 5.0717 Å, b = 5.0717 Å, c = 6.2208 Å
α = 90.00°, β = 90.00°, γ = 120.00°
Last column: nearest neighbours and their distance in Å.
Element x y z (fractional)
Pb1 0.0000 0.0000 0.0000  8 Sc 3.11
Mg1 0.6667 0.3333 0.3527  8 Sc 2.99-3.23
Sc1 0.0000 0.0000 0.5000  6 Mg 3.07, 2 Pb 3.11
Sc2 0.6667 0.3333 0.8337  5 Mg 2.99-3.23, 3 Pb 3.11
Sc3 0.3333 0.6667 0.1663  5 Mg 2.99-3.23, 3 Pb 3.11
Mg2 0.3333 0.6667 0.6473  8 Sc 2.99-3.23

Space-group type: P-3m1, No. 164
ΔH_f (0 K) in eV/atom: -0.191
DOS(E_F) in states/eV/cell: 5.3
Size of the total moment in μB/atom: 0.00
Calculated density in g/cm³: 4.68
Crystal system: trigonal


Entry 4:
VASP calculation (PBE-GGA) on a relaxed Mg2ScPb crystal.

a = 10.9683 Å, b = 10.9683 Å, c = 10.9683 Å
α = 17.34°, β = 17.34°, γ = 17.34°
Last column: nearest neighbours and their distance in Å.
Element x y z (fractional)
Mg1 0.4966 0.4966 0.4966  3 Sc 3.22, 6 Mg 3.31, 3 Pb 3.40
Mg2 0.0034 0.0034 0.0034  3 Sc 3.22, 6 Mg 3.31, 3 Pb 3.40
Pb1 0.2500 0.2500 0.2500  6 Pb 3.31, 6 Mg 3.40
Sc1 0.7500 0.7500 0.7500  6 Mg 3.22, 6 Sc 3.31

Space-group type: R-3m, No. 166
ΔH_f (0 K) in eV/atom: 0.012
DOS(E_F) in states/eV/cell: 4.0
Size of the total moment in μB/atom: 0.00
Calculated density in g/cm³: 4.89
Crystal system: trigonal


Entry 5:
VASP calculation (PBE-GGA) on a relaxed MgScPb2 crystal.

a = 8.0664 Å, b = 8.0664 Å, c = 6.5937 Å
α = 52.29°, β = 52.29°, γ = 90.00°
Last column: nearest neighbours and their distance in Å.
Element x y z (fractional)
Mg1 0.2500 0.7500 0.5000  4 Pb 2.91
Mg2 0.5000 0.5000 0.0000  4 Pb 2.91
Pb1 0.8750 0.8634 0.7500  2 Mg 2.91, 2 Sc 3.03
Sc1 0.0000 0.0000 0.0000  4 Pb 3.03, 2 Mg 3.31
Sc2 0.7500 0.2500 0.5000  4 Pb 3.03, 2 Mg 3.31
Pb2 0.3750 0.3866 0.7500  2 Mg 2.91, 2 Sc 3.03
Pb3 0.6134 0.1250 0.2500  2 Mg 2.91, 2 Sc 3.03
Pb4 0.1366 0.6250 0.2500  2 Mg 2.91, 2 Sc 3.03

Space-group type: I-42d, No. 122
ΔH_f (0 K) in eV/atom: 0.020
DOS(E_F) in states/eV/cell: 6.3
Size of the total moment in μB/atom: 0.00
Calculated density in g/cm³: 7.46
Crystal system: tetragonal


Entry 6:
VASP calculation (PBE-GGA) on a relaxed MgSc2Pb crystal.

a = 3.4336 Å, b = 3.4336 Å, c = 8.3232 Å
α = 90.00°, β = 90.00°, γ = 90.01°
Last column: nearest neighbours and their distance in Å.
Element x y z (fractional)
Pb1 0.5000 0.5000 0.7443  4 Mg 3.17, 4 Sc 3.25, 4 Pb 3.43
Mg1 0.0000 0.0000 0.4999  4 Pb 3.17, 4 Sc 3.19, 4 Mg 3.43
Sc1 0.0000 0.0000 0.0041  8 Sc 3.18-3.43, 4 Pb 3.25
Sc2 0.5000 0.5000 0.2516  8 Sc 3.18-3.43, 4 Mg 3.19

Space-group type: P4mm, No. 99
ΔH_f (0 K) in eV/atom: -0.124
DOS(E_F) in states/eV/cell: 3.1
Size of the total moment in μB/atom: 0.00
Calculated density in g/cm³: 5.44
Crystal system: tetragonal


Entry 7:
VASP calculation (PBE-GGA) on a relaxed MgScPb crystal.

a = 5.7975 Å, b = 5.7975 Å, c = 5.7975 Å
α = 146.38°, β = 136.61°, γ = 55.98°
Last column: nearest neighbours and their distance in Å.
Element x y z (fractional)
Sc1 0.3317 0.3317 0.0000  5 Pb 3.22-3.40, 5 Mg 3.24-3.35, 2 Sc 3.35
Mg1 0.0041 0.0041 0.0000  5 Pb 3.18-3.48, 5 Sc 3.24-3.35, 2 Mg 3.35
Pb1 0.6642 0.6642 0.0000  5 Mg 3.18-3.48, 5 Sc 3.22-3.40, 2 Pb 3.35

Space-group type: Imm2, No. 44
ΔH_f (0 K) in eV/atom: -0.097
DOS(E_F) in states/eV/cell: 3.0
Size of the total moment in μB/atom: 0.14
Calculated density in g/cm³: 6.24
Crystal system: orthorhombic


Entry 8:
VASP calculation (PBE-GGA) on a relaxed Mg2ScPb2 crystal.

a = 8.3995 Å, b = 8.3995 Å, c = 3.6093 Å
α = 90.00°, β = 90.00°, γ = 90.00°
Last column: nearest neighbours and their distance in Å.
Element x y z (fractional)
Pb1 0.1610 0.3390 0.0000  6 Mg 2.99-3.10, 2 Sc 3.15
Pb2 0.8390 0.6610 0.0000  6 Mg 2.99-3.10, 2 Sc 3.15
Mg1 0.3612 0.1388 0.5000  6 Pb 2.99-3.10, 1 Mg 3.30
Mg2 0.8612 0.3612 0.5000  6 Pb 2.99-3.10, 1 Mg 3.30
Mg3 0.1388 0.6388 0.5000  6 Pb 2.99-3.10, 1 Mg 3.30
Pb3 0.3390 0.8390 0.0000  6 Mg 2.99-3.10, 2 Sc 3.15
Sc1 0.5000 0.5000 0.0000  4 Pb 3.15
Pb4 0.6610 0.1610 0.0000  6 Mg 2.99-3.10, 2 Sc 3.15
Mg4 0.6388 0.8612 0.5000  6 Pb 2.99-3.10, 1 Mg 3.30
Sc2 0.0000 0.0000 0.0000  4 Pb 3.15

Space-group type: P4/mbm, No. 127
ΔH_f (0 K) in eV/atom: -0.057
DOS(E_F) in states/eV/cell: 6.2
Size of the total moment in μB/atom: 0.00
Calculated density in g/cm³: 6.63
Energy relative to the lowest polymorph listed for this composition in meV per atom: 0
Crystal system: tetragonal


Entry 9:
VASP calculation (PBE-GGA) on a relaxed MgScPb2 crystal.

a = 5.6371 Å, b = 5.6371 Å, c = 5.6371 Å
α = 130.58°, β = 130.58°, γ = 72.49°
Last column: nearest neighbours and their distance in Å.
Element x y z (fractional)
Pb1 0.0000 0.0000 0.0000  4 Mg 3.27, 4 Sc 3.27, 4 Pb 3.33
Pb2 0.5000 0.5000 0.0000  4 Sc 3.27, 4 Mg 3.27, 4 Pb 3.33
Mg1 0.7500 0.2500 0.5000  8 Pb 3.27, 4 Sc 3.33
Sc1 0.2500 0.7500 0.5000  8 Pb 3.27, 4 Mg 3.33

Space-group type: I4/mmm, No. 139
ΔH_f (0 K) in eV/atom: -0.163
DOS(E_F) in states/eV/cell: 2.8
Size of the total moment in μB/atom: 0.00
Calculated density in g/cm³: 7.95
Crystal system: tetragonal


Entry 10:
VASP calculation (PBE-GGA) on a relaxed Mg2ScPb2 crystal.

a = 4.9690 Å, b = 4.9690 Å, c = 12.5485 Å
α = 90.00°, β = 90.00°, γ = 120.00°
Last column: nearest neighbours and their distance in Å.
Element x y z (fractional)
Mg1 0.0000 0.0000 0.5000  2 Sc 3.14, 6 Pb 3.24
Mg2 0.3333 0.6667 0.2500  3 Sc 2.87
Pb1 0.6667 0.3333 0.3800  6 Mg 3.24-3.30, 1 Pb 3.26, 3 Sc 3.30
Mg3 0.6667 0.3333 0.7500  3 Sc 2.87
Sc1 0.0000 0.0000 0.2500  5 Mg 2.87-3.14
Pb2 0.3333 0.6667 0.6200  6 Mg 3.24-3.30, 1 Pb 3.26, 3 Sc 3.30
Pb3 0.3333 0.6667 0.8800  6 Mg 3.24-3.30, 1 Pb 3.26, 3 Sc 3.30
Pb4 0.6667 0.3333 0.1200  6 Mg 3.24-3.30, 1 Pb 3.26, 3 Sc 3.30
Sc2 0.0000 0.0000 0.7500  5 Mg 2.87-3.14
Mg4 0.0000 0.0000 0.0000  2 Sc 3.14, 6 Pb 3.24

Space-group type: P6_3/mmc, No. 194
ΔH_f (0 K) in eV/atom: 0.005
DOS(E_F) in states/eV/cell: 6.9
Size of the total moment in μB/atom: 0.00
Calculated density in g/cm³: 6.29
Energy relative to the lowest polymorph listed for this composition in meV per atom: 62
Crystal system: hexagonal


Entry 11:
VASP calculation (PBE-GGA) on a relaxed MgScPb crystal.

a = 4.8535 Å, b = 4.8535 Å, c = 4.8535 Å
α = 60.00°, β = 60.00°, γ = 60.00°
Last column: nearest neighbours and their distance in Å.
Element x y z (fractional)
Pb1 0.7500 0.7500 0.7500  4 Mg 2.97, 4 Sc 2.97
Mg1 0.5000 0.5000 0.5000  4 Pb 2.97
Sc1 0.0000 0.0000 0.0000  4 Pb 2.97

Space-group type: F-43m, No. 216
ΔH_f (0 K) in eV/atom: -0.085
DOS(E_F) in states/eV/cell: 2.3
Size of the total moment in μB/atom: 0.00
Calculated density in g/cm³: 5.68
Crystal system: cubic


Entry 12:
VASP calculation (PBE-GGA) on a relaxed Mg3Sc4Pb crystal.

a = 5.0655 Å, b = 5.0655 Å, c = 8.8098 Å
α = 73.29°, β = 73.29°, γ = 60.00°
Last column: nearest neighbours and their distance in Å.
Element x y z (fractional)
Mg1 0.5000 0.5000 0.5000  8 Sc 3.08-3.10
Pb1 0.0000 0.0000 0.0000  8 Sc 3.12-3.14
Mg2 0.2459 0.2459 0.2622  8 Sc 2.99-3.25
Mg3 0.7541 0.7541 0.7378  8 Sc 2.99-3.25
Sc1 0.1258 0.1258 0.6225  7 Mg 2.99-3.10, 1 Pb 3.14
Sc2 0.6235 0.6235 0.1294  5 Mg 3.08-3.25, 3 Pb 3.12
Sc3 0.3765 0.3765 0.8706  5 Mg 3.08-3.25, 3 Pb 3.12
Sc4 0.8742 0.8742 0.3775  7 Mg 2.99-3.10, 1 Pb 3.14

Space-group type: R-3m, No. 166
ΔH_f (0 K) in eV/atom: -0.159
DOS(E_F) in states/eV/cell: 7.1
Size of the total moment in μB/atom: 0.00
Calculated density in g/cm³: 4.14
Crystal system: trigonal


Entry 13:
VASP calculation (PBE-GGA) on a relaxed MgScPb4 crystal.

a = 6.8132 Å, b = 7.3756 Å, c = 9.6585 Å
α = 90.00°, β = 135.64°, γ = 90.00°
Last column: nearest neighbours and their distance in Å.
Element x y z (fractional)
Pb1 0.4111 0.3272 0.2522  2 Mg 3.12-3.14, 2 Sc 3.14-3.17, 3 Pb 3.30-3.43
Mg1 0.5000 0.0000 0.5000  8 Pb 3.12-3.15, 2 Sc 3.38
Mg2 0.0000 0.5000 0.5000  8 Pb 3.12-3.15, 2 Sc 3.38
Sc1 0.0000 0.0000 0.0000  8 Pb 3.14-3.18, 2 Mg 3.38
Pb2 0.8995 0.3319 0.7449  2 Mg 3.13-3.15, 2 Sc 3.15-3.18, 3 Pb 3.30-3.43
Pb3 0.0889 0.8272 0.7478  2 Mg 3.12-3.14, 2 Sc 3.14-3.17, 3 Pb 3.30-3.43
Pb4 0.3995 0.1681 0.7449  2 Mg 3.13-3.15, 2 Sc 3.15-3.18, 3 Pb 3.30-3.43
Pb5 0.6005 0.8319 0.2551  2 Mg 3.13-3.15, 2 Sc 3.15-3.18, 3 Pb 3.30-3.43
Sc2 0.5000 0.5000 0.0000  8 Pb 3.14-3.18, 2 Mg 3.38
Pb6 0.5889 0.6728 0.7478  2 Mg 3.12-3.14, 2 Sc 3.14-3.17, 3 Pb 3.30-3.43
Pb7 0.9111 0.1728 0.2522  2 Mg 3.12-3.14, 2 Sc 3.14-3.17, 3 Pb 3.30-3.43
Pb8 0.1005 0.6681 0.2551  2 Mg 3.13-3.15, 2 Sc 3.15-3.18, 3 Pb 3.30-3.43

Space-group type: P2_1/c, No. 14
ΔH_f (0 K) in eV/atom: -0.065
DOS(E_F) in states/eV/cell: 6.8
Size of the total moment in μB/atom: 0.00
Calculated density in g/cm³: 8.79
Energy relative to the lowest polymorph listed for this composition in meV per atom: 0
Crystal system: monoclinic


Entry 14:
VASP calculation (PBE-GGA) on a relaxed MgScPb crystal.

a = 6.9873 Å, b = 6.9381 Å, c = 3.3813 Å
α = 76.76°, β = 75.14°, γ = 28.10°
Last column: nearest neighbours and their distance in Å.
Element x y z (fractional)
Pb1 0.3339 0.3339 0.6661  4 Mg 3.18-3.29, 4 Sc 3.20-3.30, 4 Pb 3.38
Mg1 0.0003 0.0003 0.9997  4 Sc 3.17-3.28, 4 Pb 3.18-3.29, 4 Mg 3.38
Sc1 0.6658 0.6658 0.3342  4 Mg 3.17-3.28, 4 Pb 3.20-3.30, 4 Sc 3.38

Space-group type: Fmm2, No. 42
ΔH_f (0 K) in eV/atom: -0.127
DOS(E_F) in states/eV/cell: 2.0
Size of the total moment in μB/atom: 0.19
Calculated density in g/cm³: 6.15
Crystal system: orthorhombic